# FeIr3Pt, relaxed, DFT PBE
# spin magnetization	2.73	μB per formula unit
# E above lowest polymorph	0.0	meV per atom
data_FeIr3Pt
_cell_length_a 5.283
_cell_length_b 3.690
_cell_length_c 8.066
_cell_angle_alpha 90.00
_cell_angle_beta 100.38
_cell_angle_gamma 90.00
_space_group_name_H-M_alt 'P 1 21/m 1'
_space_group_IT_number 11
_space_group_name_Hall '-P 2yb'
loop_
_atom_site_label
_atom_site_type_symbol
_atom_site_fract_x
_atom_site_fract_y
_atom_site_fract_z
Fe1 Fe 0.143 0.250 0.100
Ir1 Ir 0.314 0.250 0.446
Ir2 Ir 0.343 0.750 0.918
Ir3 Ir 0.434 0.750 0.246
Pt1 Pt 0.052 0.250 0.709